## a
Sc3ZnGa: optimized geometry, GGA-PBE.

Cell lengths 4.5940, 7.4063, 7.4063 Å; angles 120.00, 90.00, 90.00 degrees
With the nearest neighbours (Å) after each atom.
Sites, in units of the cell vectors:
Sc: 0.2500 0.8046 0.6095  2 Zn 2.76, 2 Ga 2.90, 2 Sc 3.07
Zn: 0.0000 0.0000 0.0000  2 Zn 2.30
Ga: 0.7500 0.6665 0.3335  6 Sc 2.90
Zn: 0.5000 0.0000 0.0000  2 Zn 2.30
Sc: 0.7500 0.6095 0.8046  2 Zn 2.76, 2 Ga 2.90, 2 Sc 3.07
Sc: 0.2500 0.3905 0.1954  2 Zn 2.76, 2 Ga 2.90, 2 Sc 3.07
Ga: 0.2500 0.3335 0.6665  6 Sc 2.90
Sc: 0.2500 0.8047 0.1953  2 Zn 2.76, 2 Ga 2.90, 2 Sc 3.07
Sc: 0.7500 0.1953 0.8047  2 Zn 2.76, 2 Ga 2.90, 2 Sc 3.07
Sc: 0.7500 0.1954 0.3905  2 Zn 2.76, 2 Ga 2.90, 2 Sc 3.07

## b
Sc3ZnGa: optimized geometry, GGA-PBE.

Cell lengths 4.9895, 4.9895, 4.9895 Å; angles 90.00, 90.00, 90.00 degrees
With the nearest neighbours (Å) after each atom.
Sites, in units of the cell vectors:
Zn: 0.0000 0.0000 0.0000  6 Sc 2.49
Sc: 0.0000 0.5000 0.0000  2 Zn 2.49
Sc: 0.0000 0.0000 0.5000  2 Zn 2.49
Ga: 0.5000 0.5000 0.5000  12 Sc 3.53
Sc: 0.5000 0.0000 0.0000  2 Zn 2.49

## c
Sc3ZnGa: optimized geometry, GGA-PBE.

Cell lengths 4.6570, 4.6564, 9.5640 Å; angles 90.00, 75.91, 90.00 degrees
With the nearest neighbours (Å) after each atom.
Sites, in units of the cell vectors:
Ga: 0.4827 0.7500 0.6829  8 Sc 2.88-2.92
Sc: 0.2594 0.7500 0.1295  2 Zn 2.89, 2 Ga 2.91
Zn: 0.9811 0.2500 0.6862  8 Sc 2.89-2.90
Sc: 0.3889 0.2500 0.8705  2 Zn 2.89, 2 Ga 2.91
Ga: 0.1656 0.2500 0.3171  8 Sc 2.88-2.92
Sc: 0.0740 0.7500 0.5004  4 Ga 2.88, 4 Zn 2.90
Sc: 0.5744 0.2500 0.4996  4 Ga 2.88, 4 Zn 2.90
Zn: 0.6673 0.7500 0.3138  8 Sc 2.89-2.90
Sc: 0.7602 0.2500 0.1279  2 Zn 2.90, 2 Ga 2.92
Sc: 0.8881 0.7500 0.8721  2 Zn 2.90, 2 Ga 2.92

Relative energies, unit kJ/mol of atoms: a 20.7; b 57.5; c 0.0

## a
Sc2ZnGa4: optimized geometry, GGA-PBE.

Cell lengths 4.0065, 5.7384, 5.7384 Å; angles 86.43, 90.00, 90.00 degrees
With the nearest neighbours (Å) after each atom.
Sites, in units of the cell vectors:
Zn: 0.5000 0.5000 0.5000  8 Ga 2.87, 4 Sc 2.89
Ga: 0.0000 0.2547 0.2547  4 Ga 2.81, 4 Sc 2.82-2.93, 2 Zn 2.87
Ga: 0.5000 0.0000 0.5000  4 Ga 2.81, 2 Zn 2.87, 4 Sc 2.90
Sc: 0.0000 0.7657 0.2343  8 Ga 2.82-2.93, 2 Zn 2.89
Ga: 0.5000 0.5000 0.0000  4 Ga 2.81, 2 Zn 2.87, 4 Sc 2.90
Ga: 0.0000 0.7453 0.7453  4 Ga 2.81, 4 Sc 2.82-2.93, 2 Zn 2.87
Sc: 0.0000 0.2343 0.7657  8 Ga 2.82-2.93, 2 Zn 2.89

## b
Sc2ZnGa4: optimized geometry, GGA-PBE.

Cell lengths 4.6905, 4.6905, 7.6970 Å; angles 72.26, 72.26, 90.00 degrees
With the nearest neighbours (Å) after each atom.
Sites, in units of the cell vectors:
Sc: 0.3769 0.3769 0.2463  5 Ga 2.73-2.90
Ga: 0.0000 0.5000 0.0000  2 Zn 2.35
Ga: 0.1800 0.1800 0.6399  1 Zn 2.50, 1 Sc 2.73
Zn: 0.0000 0.0000 0.0000  6 Ga 2.35-2.50
Ga: 0.5000 0.0000 0.0000  2 Zn 2.35
Sc: 0.6231 0.6231 0.7537  5 Ga 2.73-2.90
Ga: 0.8200 0.8200 0.3601  1 Zn 2.50, 1 Sc 2.73

Relative energies, unit kJ/mol of atoms: a 0.0; b 41.0

## a
Zr3ScGa: optimized geometry, GGA-PBE.

Cell lengths 4.9982, 4.9982, 4.9982 Å; angles 90.00, 90.00, 90.00 degrees
With the nearest neighbours (Å) after each atom.
Sites, in units of the cell vectors:
Ga: 0.5000 0.5000 0.5000  12 Zr 3.53
Zr: 0.0000 0.5000 0.0000  2 Sc 2.50
Zr: 0.0000 0.0000 0.5000  2 Sc 2.50
Zr: 0.5000 0.0000 0.0000  2 Sc 2.50
Sc: 0.0000 0.0000 0.0000  6 Zr 2.50

## b
Zr3ScGa: optimized geometry, GGA-PBE.

Cell lengths 5.0762, 5.0762, 5.0762 Å; angles 90.00, 90.00, 90.00 degrees
With the nearest neighbours (Å) after each atom.
Sites, in units of the cell vectors:
Zr: 0.5000 0.0000 0.0000  2 Ga 2.54
Ga: 0.0000 0.0000 0.0000  6 Zr 2.54
Zr: 0.0000 0.0000 0.5000  2 Ga 2.54
Sc: 0.5000 0.5000 0.5000  12 Zr 3.59
Zr: 0.0000 0.5000 0.0000  2 Ga 2.54

Relative energies, unit kJ/mol of atoms: a 63.1; b 0.0

## a
ZrSc3Ga: optimized geometry, GGA-PBE.

Cell lengths 5.0736, 5.0736, 5.0736 Å; angles 90.00, 90.00, 90.00 degrees
With the nearest neighbours (Å) after each atom.
Sites, in units of the cell vectors:
Sc: 0.0000 0.5000 0.0000  2 Ga 2.54
Ga: 0.0000 0.0000 0.0000  6 Sc 2.54
Sc: 0.0000 0.0000 0.5000  2 Ga 2.54
Sc: 0.5000 0.0000 0.0000  2 Ga 2.54
Zr: 0.5000 0.5000 0.5000  12 Sc 3.59

## b
ZrSc3Ga: optimized geometry, GGA-PBE.

Cell lengths 5.1320, 5.1320, 5.1320 Å; angles 90.00, 90.00, 90.00 degrees
With the nearest neighbours (Å) after each atom.
Sites, in units of the cell vectors:
Zr: 0.0000 0.0000 0.0000  6 Sc 2.57
Ga: 0.5000 0.5000 0.5000  12 Sc 3.63
Sc: 0.0000 0.0000 0.5000  2 Zr 2.57
Sc: 0.0000 0.5000 0.0000  2 Zr 2.57
Sc: 0.5000 0.0000 0.0000  2 Zr 2.57

Relative energies, unit kJ/mol of atoms: a 0.0; b 42.7

## a
ZrSc3Ga3: optimized geometry, GGA-PBE.

Cell lengths 8.1525, 8.1525, 6.8611 Å; angles 53.55, 53.55, 60.00 degrees
With the nearest neighbours (Å) after each atom.
Sites, in units of the cell vectors:
Ga: 0.5360 0.3797 0.2371  4 Sc 2.81-3.02, 2 Zr 2.88-2.95, 1 Ga 2.88
Sc: 0.3239 0.0785 0.7297  4 Ga 2.81-3.02
Sc: 0.9215 0.1321 0.2703  4 Ga 2.81-3.02
Zr: 0.2706 0.2706 0.1883  6 Ga 2.88-2.95, 3 Sc 3.20
Ga: 0.8471 0.5360 0.2371  4 Sc 2.81-3.02, 2 Zr 2.88-2.95, 1 Ga 2.88
Zr: 0.7294 0.7294 0.8117  6 Ga 2.88-2.95, 3 Sc 3.20
Sc: 0.1321 0.6761 0.2703  4 Ga 2.81-3.02
Ga: 0.3797 0.8471 0.2371  4 Sc 2.81-3.02, 2 Zr 2.88-2.95, 1 Ga 2.88
Ga: 0.6203 0.1529 0.7629  4 Sc 2.81-3.02, 2 Zr 2.88-2.95, 1 Ga 2.88
Ga: 0.4640 0.6203 0.7629  4 Sc 2.81-3.02, 2 Zr 2.88-2.95, 1 Ga 2.88
Ga: 0.1529 0.4640 0.7629  4 Sc 2.81-3.02, 2 Zr 2.88-2.95, 1 Ga 2.88
Sc: 0.0785 0.8679 0.7297  4 Ga 2.81-3.02
Sc: 0.8679 0.3239 0.7297  4 Ga 2.81-3.02
Sc: 0.6761 0.9215 0.2703  4 Ga 2.81-3.02

## b
ZrSc3Ga3: optimized geometry, GGA-PBE.

Cell lengths 8.3325, 8.3325, 8.3325 Å; angles 90.00, 90.00, 90.00 degrees
With the nearest neighbours (Å) after each atom.
Sites, in units of the cell vectors:
Sc: 0.4263 0.5737 0.0737  6 Ga 2.78-2.94
Sc: 0.3236 0.1764 0.8236  6 Ga 2.78-3.03
Zr: 0.5645 0.9355 0.0645  6 Ga 2.76-3.00
Zr: 0.4355 0.4355 0.4355  6 Ga 2.76-3.00
Sc: 0.3239 0.8239 0.6761  6 Ga 2.80-3.01
Sc: 0.9263 0.9263 0.9263  6 Ga 2.78-2.94
Ga: 0.3682 0.4999 0.7536  2 Zr 2.76-3.00, 6 Sc 2.78-3.03
Zr: 0.0645 0.5645 0.9355  6 Ga 2.76-3.00
Sc: 0.1764 0.8236 0.3236  6 Ga 2.78-3.03
Sc: 0.0737 0.4263 0.5737  6 Ga 2.78-2.94
Ga: 0.8682 0.0001 0.2464  2 Zr 2.76-3.00, 6 Sc 2.78-3.03
Sc: 0.8239 0.6761 0.3239  6 Ga 2.80-3.01
Ga: 0.4999 0.7536 0.3682  2 Zr 2.76-3.00, 6 Sc 2.78-3.03
Sc: 0.6764 0.6764 0.6764  6 Ga 2.78-3.03
Ga: 0.2536 0.1318 0.5001  2 Zr 2.76-3.00, 6 Sc 2.78-3.03
Ga: 0.7464 0.6318 0.9999  2 Zr 2.76-3.00, 6 Sc 2.78-3.03
Sc: 0.8236 0.3236 0.1764  6 Ga 2.78-3.03
Sc: 0.1761 0.1761 0.1761  6 Ga 2.80-3.01
Sc: 0.6761 0.3239 0.8239  6 Ga 2.80-3.01
Sc: 0.5737 0.0737 0.4263  6 Ga 2.78-2.94
Ga: 0.7536 0.3682 0.4999  2 Zr 2.76-3.00, 6 Sc 2.78-3.03
Ga: 0.0001 0.2464 0.8682  2 Zr 2.76-3.00, 6 Sc 2.78-3.03
Ga: 0.2464 0.8682 0.0001  2 Zr 2.76-3.00, 6 Sc 2.78-3.03
Ga: 0.6318 0.9999 0.7464  2 Zr 2.76-3.00, 6 Sc 2.78-3.03
Ga: 0.1318 0.5001 0.2536  2 Zr 2.76-3.00, 6 Sc 2.78-3.03
Ga: 0.5001 0.2536 0.1318  2 Zr 2.76-3.00, 6 Sc 2.78-3.03
Ga: 0.9999 0.7464 0.6318  2 Zr 2.76-3.00, 6 Sc 2.78-3.03
Zr: 0.9355 0.0645 0.5645  6 Ga 2.76-3.00

Relative energies, unit kJ/mol of atoms: a 6.5; b 0.0

## a
ZrSc2Ga2: optimized geometry, GGA-PBE.

Cell lengths 4.2016, 5.4757, 5.4757 Å; angles 68.33, 67.44, 67.44 degrees
With the nearest neighbours (Å) after each atom.
Sites, in units of the cell vectors:
Sc: 0.1979 0.3021 0.3021  6 Ga 2.93-3.02, 1 Sc 3.18, 2 Zr 3.21
Sc: 0.8021 0.6979 0.6979  6 Ga 2.93-3.02, 1 Sc 3.18, 2 Zr 3.21
Zr: 0.0000 0.0000 0.0000  4 Ga 2.77
Ga: 0.5000 0.7075 0.2925  1 Ga 2.55, 2 Zr 2.77
Ga: 0.5000 0.2925 0.7075  1 Ga 2.55, 2 Zr 2.77

## b
ZrSc2Ga2: optimized geometry, GGA-PBE.

Cell lengths 8.1414, 8.1414, 3.0235 Å; angles 90.00, 90.00, 90.00 degrees
With the nearest neighbours (Å) after each atom.
Sites, in units of the cell vectors:
Sc: 0.1250 0.3750 0.0000  6 Ga 2.76-2.90, 3 Sc 2.88-3.02
Zr: 0.5000 0.5000 0.0000  2 Zr 3.02, 4 Sc 3.22, 8 Ga 3.37
Ga: 0.3256 0.1744 0.5000  6 Sc 2.76-2.90, 2 Ga 3.02
Sc: 0.8750 0.6250 0.0000  6 Ga 2.76-2.90, 3 Sc 2.88-3.02
Ga: 0.8256 0.3256 0.5000  6 Sc 2.76-2.90, 2 Ga 3.02
Sc: 0.3750 0.8750 0.0000  6 Ga 2.76-2.90, 3 Sc 2.88-3.02
Zr: 0.0000 0.0000 0.0000  2 Zr 3.02, 4 Sc 3.22, 8 Ga 3.37
Ga: 0.1744 0.6744 0.5000  6 Sc 2.76-2.90, 2 Ga 3.02
Ga: 0.6744 0.8256 0.5000  6 Sc 2.76-2.90, 2 Ga 3.02
Sc: 0.6250 0.1250 0.0000  6 Ga 2.76-2.90, 3 Sc 2.88-3.02

## c
ZrSc2Ga2: optimized geometry, GGA-PBE.

Cell lengths 7.7010, 7.7010, 3.4031 Å; angles 90.00, 90.00, 90.00 degrees
With the nearest neighbours (Å) after each atom.
Sites, in units of the cell vectors:
Zr: 0.5000 0.5000 0.0000  4 Ga 3.05, 8 Sc 3.31, 2 Zr 3.40
Zr: 0.0000 0.0000 0.0000  4 Ga 3.05, 8 Sc 3.31, 2 Zr 3.40
Sc: 0.8242 0.3242 0.5000  6 Ga 2.77-2.90
Ga: 0.6240 0.1240 0.0000  1 Ga 2.70, 6 Sc 2.77-2.90
Sc: 0.3242 0.1758 0.5000  6 Ga 2.77-2.90
Sc: 0.1758 0.6758 0.5000  6 Ga 2.77-2.90
Sc: 0.6758 0.8242 0.5000  6 Ga 2.77-2.90
Ga: 0.3760 0.8760 0.0000  1 Ga 2.70, 6 Sc 2.77-2.90
Ga: 0.8760 0.6240 0.0000  1 Ga 2.70, 6 Sc 2.77-2.90
Ga: 0.1240 0.3760 0.0000  1 Ga 2.70, 6 Sc 2.77-2.90

Relative energies, unit kJ/mol of atoms: a 3.1; b 17.6; c 0.0

## a
ZrScGa: optimized geometry, GGA-PBE.

Cell lengths 5.9674, 4.6796, 10.4664 Å; angles 90.00, 122.14, 90.00 degrees
With the nearest neighbours (Å) after each atom.
Sites, in units of the cell vectors:
Sc: 0.7892 0.5000 0.5470  3 Ga 2.77-2.88, 1 Sc 3.04
Ga: 0.9186 0.0000 0.3539  1 Ga 2.67, 3 Sc 2.77-2.88, 1 Zr 2.82
Zr: 0.5746 0.0000 0.6702  3 Ga 2.82-3.03
Zr: 0.5746 0.5000 0.1702  3 Ga 2.82-3.03
Zr: 0.4254 0.5000 0.8298  3 Ga 2.82-3.03
Ga: 0.0814 0.5000 0.1461  1 Ga 2.67, 3 Sc 2.77-2.88, 1 Zr 2.82
Sc: 0.2108 0.0000 0.9530  3 Ga 2.77-2.88, 1 Sc 3.04
Sc: 0.2108 0.5000 0.4530  3 Ga 2.77-2.88, 1 Sc 3.04
Ga: 0.0814 0.0000 0.6461  1 Ga 2.67, 3 Sc 2.77-2.88, 1 Zr 2.82
Ga: 0.9186 0.5000 0.8539  1 Ga 2.67, 3 Sc 2.77-2.88, 1 Zr 2.82
Sc: 0.7892 0.0000 0.0470  3 Ga 2.77-2.88, 1 Sc 3.04
Zr: 0.4254 0.0000 0.3298  3 Ga 2.82-3.03

## b
ZrScGa: optimized geometry, GGA-PBE.

Cell lengths 3.1605, 3.8644, 10.0736 Å; angles 90.00, 90.00, 90.00 degrees
With the nearest neighbours (Å) after each atom.
Sites, in units of the cell vectors:
Sc: 0.5000 0.0000 0.7395  4 Ga 2.93, 5 Zr 3.12-3.15, 2 Sc 3.16
Zr: 0.0000 0.5000 0.5490  4 Ga 2.95, 5 Sc 3.12-3.15, 2 Zr 3.16
Ga: 0.5000 0.0000 0.3921  4 Sc 2.93, 4 Zr 2.95, 2 Ga 3.16
Zr: 0.5000 0.0000 0.0490  4 Ga 2.95, 5 Sc 3.12-3.15, 2 Zr 3.16
Sc: 0.0000 0.5000 0.2395  4 Ga 2.93, 5 Zr 3.12-3.15, 2 Sc 3.16
Ga: 0.0000 0.5000 0.8921  4 Sc 2.93, 4 Zr 2.95, 2 Ga 3.16

## c
ZrScGa: optimized geometry, GGA-PBE.

Cell lengths 3.2176, 3.2176, 6.4100 Å; angles 104.54, 104.54, 90.00 degrees
With the nearest neighbours (Å) after each atom.
Sites, in units of the cell vectors:
Sc: 0.6069 0.6069 0.2138  4 Ga 2.95, 4 Zr 3.19, 4 Sc 3.22
Ga: 0.9501 0.9501 0.9002  4 Sc 2.95, 4 Zr 2.95, 4 Ga 3.22
Zr: 0.2930 0.2930 0.5860  4 Ga 2.95, 4 Sc 3.19, 4 Zr 3.22

Relative energies, unit kJ/mol of atoms: a 0.5; b 6.1; c 0.0

## a
ZrScGa: optimized geometry, GGA-PBE.

Cell lengths 5.6923, 6.3564, 6.9660 Å; angles 90.00, 90.00, 90.00 degrees
With the nearest neighbours (Å) after each atom.
Sites, in units of the cell vectors:
Ga: 0.5000 0.5000 0.1637  2 Ga 2.85, 4 Zr 2.86-2.88, 4 Sc 2.87-2.90
Ga: 0.0000 0.5000 0.1637  2 Ga 2.85, 4 Zr 2.86-2.88, 4 Sc 2.87-2.90
Ga: 0.5000 0.0000 0.6637  2 Ga 2.85, 4 Zr 2.86-2.88, 4 Sc 2.87-2.90
Sc: 0.2500 0.6512 0.4987  4 Ga 2.87-2.90, 1 Zr 3.06
Ga: 0.0000 0.0000 0.6637  2 Ga 2.85, 4 Zr 2.86-2.88, 4 Sc 2.87-2.90
Sc: 0.7500 0.3488 0.4987  4 Ga 2.87-2.90, 1 Zr 3.06
Zr: 0.2500 0.1547 0.3376  4 Ga 2.86-2.88, 1 Sc 3.06
Zr: 0.7500 0.6547 0.8376  4 Ga 2.86-2.88, 1 Sc 3.06
Zr: 0.7500 0.8453 0.3376  4 Ga 2.86-2.88, 1 Sc 3.06
Sc: 0.2500 0.8488 0.9987  4 Ga 2.87-2.90, 1 Zr 3.06
Sc: 0.7500 0.1512 0.9987  4 Ga 2.87-2.90, 1 Zr 3.06
Zr: 0.2500 0.3453 0.8376  4 Ga 2.86-2.88, 1 Sc 3.06

## b
ZrScGa: optimized geometry, GGA-PBE.

Cell lengths 9.4791, 5.9743, 4.4105 Å; angles 90.00, 90.00, 90.00 degrees
With the nearest neighbours (Å) after each atom.
Sites, in units of the cell vectors:
Ga: 0.8502 0.5000 0.0000  4 Sc 2.73-3.00, 1 Ga 2.84, 4 Zr 3.00
Zr: 0.5000 0.7570 0.0000  2 Zr 2.90-3.07, 4 Ga 3.00, 4 Sc 3.18
Sc: 0.8200 0.0000 0.0000  4 Ga 2.73-3.00
Zr: 0.5000 0.2430 0.0000  2 Zr 2.90-3.07, 4 Ga 3.00, 4 Sc 3.18
Sc: 0.3200 0.5000 0.5000  4 Ga 2.73-3.00
Sc: 0.1800 0.0000 0.0000  4 Ga 2.73-3.00
Ga: 0.3502 0.0000 0.5000  4 Sc 2.73-3.00, 1 Ga 2.84, 4 Zr 3.00
Ga: 0.6498 0.0000 0.5000  4 Sc 2.73-3.00, 1 Ga 2.84, 4 Zr 3.00
Sc: 0.6800 0.5000 0.5000  4 Ga 2.73-3.00
Zr: 0.0000 0.2570 0.5000  2 Zr 2.90-3.07, 4 Ga 3.00, 4 Sc 3.18
Zr: 0.0000 0.7430 0.5000  2 Zr 2.90-3.07, 4 Ga 3.00, 4 Sc 3.18
Ga: 0.1498 0.5000 0.0000  4 Sc 2.73-3.00, 1 Ga 2.84, 4 Zr 3.00

Relative energies, unit kJ/mol of atoms: a 0.0; b 2.2